No. 1
Below is a geometry-optimized NaSnPb structure, with properties calculated at the PBE-GGA level.

Summary:
Offset from the most stable computed form: 0.018 eV/atom
Calculated formation energy: -0.105 eV per atom
DFT total energy: -3.115 eV/atom
Density of states at the Fermi level: 1.59 states/eV/f.u.

a = 4.935 Å, b = 4.968 Å, c = 7.340 Å
α = 90.00°, β = 109.28°, γ = 90.00°
Space group P2_1/m (No. 11)
Asymmetric unit:
Na: 0.080 0.250 0.162
Sn: 0.421 0.250 0.840
Pb: 0.246 0.750 0.488

=====

No. 2
Below is a geometry-optimized Th2IrPd structure, with properties calculated at the PBE-GGA level.

Summary:
Calculated formation energy: -0.824 eV per atom
DFT total energy: -8.047 eV/atom
Density of states at the Fermi level: 2.36 states/eV/f.u.

a = 4.1543 Å, b = 4.1543 Å, c = 21.0116 Å
α = 90.00°, β = 90.00°, γ = 120.00°
Space group R3m (No. 160, hexagonal axes)
Asymmetric unit:
Th: 0.0000 0.0000 0.0000
Th: 0.0000 0.0000 0.1808
Ir: 0.0000 0.0000 0.5909
Pd: 0.0000 0.0000 0.7549

=====

No. 3
Below is a geometry-optimized LaZr2Tl structure, with properties calculated at the PBE-GGA level.

Summary:
Offset from the most stable computed form: 0.042 eV/atom
Calculated formation energy: 0.012 eV per atom
DFT total energy: -6.086 eV/atom
Density of states at the Fermi level: 4.90 states/eV/f.u.

a = 3.948 Å, b = 3.948 Å, c = 6.856 Å
α = 90.00°, β = 90.00°, γ = 90.00°
Space group P4mm (No. 99)
Asymmetric unit:
La: 0.000 0.000 0.000
Zr: 0.000 0.000 0.511
Zr: 0.500 0.500 0.718
Tl: 0.500 0.500 0.282

=====

What did the first record say?
Below is a geometry-optimized NaSnPb structure, with properties calculated at the PBE-GGA level.

Summary:
Offset from the most stable computed form: 0.018 eV/atom
Calculated formation energy: -0.105 eV per atom
DFT total energy: -3.115 eV/atom
Density of states at the Fermi level: 1.59 states/eV/f.u.

a = 4.935 Å, b = 4.968 Å, c = 7.340 Å
α = 90.00°, β = 109.28°, γ = 90.00°
Space group P2_1/m (No. 11)
Asymmetric unit:
Na: 0.080 0.250 0.162
Sn: 0.421 0.250 0.840
Pb: 0.246 0.750 0.488

=====

Q: The highest density of states at the Fermi level belongs to which entry?
A: LaZr2Tl